Material: PrThSe2
Method: DFT, PBE
State: relaxed

Output
Raw formation energy ... -160.4 kJ per mole of atoms
Polymorph energy (0 for the lowest one) ... 20 meV per atom
DFT total energy ... -6.454 eV/atom
Mass density ... 8.19 Mg/m³

Lattice parameters (Å, degrees): 4.092 4.092 14.845 90.00 90.00 120.00
Element x y z (fractional)
Pr1 0.000 0.000 0.000
Pr2 0.000 0.000 0.500
Th1 0.333 0.667 0.250
Th2 0.667 0.333 0.750
Se1 0.333 0.667 0.625
Se2 0.333 0.667 0.875
Se3 0.667 0.333 0.125
Se4 0.667 0.333 0.375

***

Material: Pr3Th2Se8
Method: DFT, PBE
State: relaxed

Output
Raw formation energy ... -163.5 kJ per mole of atoms
DFT total energy ... -6.084 eV/atom
Mass density ... 6.85 Mg/m³

Lattice parameters (Å, degrees): 8.789 8.789 5.044 90.00 90.00 109.18
Element x y z (fractional)
Pr1 0.000 0.000 0.000
Pr2 0.280 0.280 0.500
Pr3 0.720 0.720 0.500
Th1 0.257 0.743 0.000
Th2 0.743 0.257 0.000
Se1 0.119 0.372 0.000
Se2 0.122 0.878 0.500
Se3 0.367 0.633 0.500
Se4 0.372 0.119 0.000
Se5 0.628 0.881 0.000
Se6 0.633 0.367 0.500
Se7 0.878 0.122 0.500
Se8 0.881 0.628 0.000

***

Material: PrThSe2
Method: DFT, PBE
State: relaxed

Output
Raw formation energy ... -144.9 kJ per mole of atoms
Polymorph energy (0 for the lowest one) ... 180 meV per atom
DFT total energy ... -6.294 eV/atom
Mass density ... 8.99 Mg/m³

Lattice parameters (Å, degrees): 7.320 7.320 7.320 90.00 90.00 90.00
Element x y z (fractional)
Pr1 0.000 0.000 0.000
Pr2 0.000 0.500 0.500
Pr3 0.500 0.000 0.500
Pr4 0.500 0.500 0.000
Th1 0.000 0.000 0.500
Th2 0.000 0.500 0.000
Th3 0.500 0.000 0.000
Th4 0.500 0.500 0.500
Se1 0.250 0.250 0.250
Se2 0.250 0.250 0.750
Se3 0.250 0.750 0.250
Se4 0.250 0.750 0.750
Se5 0.750 0.250 0.250
Se6 0.750 0.250 0.750
Se7 0.750 0.750 0.250
Se8 0.750 0.750 0.750

***

Material: Pr4ThSe5
Method: DFT, PBE
State: relaxed

Output
Raw formation energy ... -171.6 kJ per mole of atoms
DFT total energy ... -6.175 eV/atom
Mass density ... 7.28 Mg/m³

Lattice parameters (Å, degrees): 7.364 7.364 7.364 99.59 99.59 131.82
Element x y z (fractional)
Pr1 0.094 0.302 0.396
Pr2 0.302 0.906 0.207
Pr3 0.698 0.094 0.793
Pr4 0.906 0.698 0.604
Th1 0.500 0.500 0.000
Se1 0.000 0.000 0.000
Se2 0.205 0.601 0.806
Se3 0.399 0.205 0.604
Se4 0.601 0.795 0.396
Se5 0.795 0.399 0.194

***

The highest mass density belongs to which entry?
number 3

***

What is the mass density in the second record?
6.85 Mg/m³

***

Look up the mass density of the fourth one.
7.28 Mg/m³

***

Which value of mass density does entry 4 give?
7.28 Mg/m³